Below is Nd6Sn3Sb after structural relaxation, with properties calculated at the PBE-GGA level.

Crystal system: orthorhombic

Unit cell a=9.4324 b=9.4324 c=8.0225 alpha=90.00 beta=90.00 gamma=111.89
Element x y z (fractional)
Nd1 0.0227 0.9773 0.5000
Nd2 0.0941 0.5186 0.9886
Nd3 0.2450 0.3331 0.3538
Nd4 0.2831 0.7169 0.4098
Nd5 0.3331 0.2450 0.8538
Nd6 0.4814 0.9059 0.9886
Nd7 0.5186 0.0941 0.4886
Nd8 0.6669 0.7550 0.3538
Nd9 0.7169 0.2831 0.9098
Nd10 0.7550 0.6669 0.8538
Nd11 0.9059 0.4814 0.4886
Nd12 0.9773 0.0227 0.0000
Sn1 0.0272 0.2714 0.7056
Sn2 0.2714 0.0272 0.2056
Sn3 0.4382 0.5618 0.0765
Sn4 0.5618 0.4382 0.5765
Sn5 0.7286 0.9728 0.7056
Sn6 0.9728 0.7286 0.2056
Sb1 0.1686 0.8314 0.7598
Sb2 0.8314 0.1686 0.2598

---

Below is Nd5SnSb4 after structural relaxation, with properties calculated at the PBE-GGA level.

Crystal system: tetragonal

Unit cell a=16.2960 b=16.2960 c=16.2960 alpha=164.04 beta=164.04 gamma=22.65
Element x y z (fractional)
Nd1 0.0000 0.0000 0.0000
Nd2 0.2000 0.2000 0.0000
Nd3 0.3992 0.3992 0.0000
Nd4 0.6008 0.6008 0.0000
Nd5 0.8000 0.8000 0.0000
Sn1 0.5000 0.5000 0.0000
Sb1 0.1001 0.1001 0.0000
Sb2 0.3000 0.3000 0.0000
Sb3 0.7000 0.7000 0.0000
Sb4 0.8999 0.8999 0.0000

---

Below is NdSnSb after structural relaxation, with properties calculated at the PBE-GGA level.

Crystal system: orthorhombic

Unit cell a=8.7816 b=8.7816 c=4.4050 alpha=90.00 beta=90.00 gamma=150.15
Element x y z (fractional)
Nd1 0.1001 0.8999 0.7500
Nd2 0.8999 0.1001 0.2500
Sn1 0.2502 0.7498 0.2500
Sn2 0.7498 0.2502 0.7500
Sb1 0.4312 0.5688 0.7500
Sb2 0.5688 0.4312 0.2500

---

Below is Nd2SnSb4 after structural relaxation, with properties calculated at the PBE-GGA level.

Crystal system: tetragonal

Unit cell a=4.3638 b=4.3638 c=11.4708 alpha=90.00 beta=90.00 gamma=90.00
Element x y z (fractional)
Nd1 0.0000 0.5000 0.2172
Nd2 0.5000 0.0000 0.7828
Sn1 0.0000 0.0000 0.5000
Sb1 0.0000 0.0000 0.0000
Sb2 0.0000 0.5000 0.6869
Sb3 0.5000 0.0000 0.3131
Sb4 0.5000 0.5000 0.0000

---

Below is Nd8SnSb2 after structural relaxation, with properties calculated at the PBE-GGA level.

Crystal system: monoclinic

Unit cell a=10.1669 b=10.1669 c=7.4492 alpha=99.03 beta=99.03 gamma=28.51
Element x y z (fractional)
Nd1 0.0167 0.0167 0.2564
Nd2 0.2170 0.2170 0.8516
Nd3 0.3367 0.3367 0.4764
Nd4 0.4044 0.4044 0.0106
Nd5 0.5956 0.5956 0.9894
Nd6 0.6633 0.6633 0.5236
Nd7 0.7830 0.7830 0.1484
Nd8 0.9833 0.9833 0.7436
Sn1 0.5000 0.5000 0.5000
Sb1 0.1802 0.1802 0.2653
Sb2 0.8198 0.8198 0.7347

---

Below is Nd4SnSb after structural relaxation, with properties calculated at the PBE-GGA level.

Crystal system: monoclinic

Unit cell a=10.5859 b=10.5859 c=8.1463 alpha=97.75 beta=97.75 gamma=26.23
Element x y z (fractional)
Nd1 0.0716 0.0716 0.3649
Nd2 0.2169 0.2169 0.1304
Nd3 0.3091 0.3091 0.5314
Nd4 0.4162 0.4162 0.1377
Nd5 0.5838 0.5838 0.8623
Nd6 0.6909 0.6909 0.4686
Nd7 0.7831 0.7831 0.8696
Nd8 0.9284 0.9284 0.6351
Sn1 0.1746 0.1746 0.7294
Sn2 0.8254 0.8254 0.2706
Sb1 0.0000 0.0000 0.0000
Sb2 0.5000 0.5000 0.5000

---

Number 1: mass density 6.74 g/cm³, formation energy from raw total energies -545 kJ/mol of formula units, size of the total moment 0.001 μB per formula unit. Number 2: mass density 6.73 g/cm³, formation energy from raw total energies -1024 kJ/mol of formula units, size of the total moment 0.000 μB per formula unit. Number 3: mass density 7.56 g/cm³, formation energy from raw total energies -209 kJ/mol of formula units, size of the total moment 0.000 μB per formula unit. Number 4: mass density 6.80 g/cm³, formation energy from raw total energies -439 kJ/mol of formula units, size of the total moment 0.000 μB per formula unit. Number 5: mass density 6.94 g/cm³, formation energy from raw total energies -526 kJ/mol of formula units, size of the total moment 0.000 μB per formula unit. Number 6: mass density 6.79 g/cm³, formation energy from raw total energies -350 kJ/mol of formula units, size of the total moment 0.000 μB per formula unit.